(1)
Computed, not measured: a relaxed structure of CeAgSe3 at the GGA-PBE level of DFT.

Unit cell a=4.1981 b=5.7154 c=10.1270 alpha=90.00 beta=90.00 gamma=90.00
Atoms (fractional coordinates):
Ce: 0.2500 0.2500 0.1485
Ce: 0.7500 0.7500 0.8515
Ag: 0.2500 0.7500 0.4540
Ag: 0.7500 0.2500 0.5460
Se: 0.2500 0.0026 0.6895
Se: 0.2500 0.4974 0.6895
Se: 0.2500 0.7500 0.0509
Se: 0.7500 0.2500 0.9491
Se: 0.7500 0.5026 0.3105
Se: 0.7500 0.9974 0.3105

Output
final energy: -0.3539 Ry per atom
E_form (uncorrected): -0.968 eV per atom

(2)
Computed, not measured: a relaxed structure of B2AuC at the GGA-PBE level of DFT.

Unit cell a=4.9907 b=4.9907 c=4.9907 alpha=124.00 beta=124.00 gamma=83.21
Atoms (fractional coordinates):
B: 0.0078 0.6250 0.8828
B: 0.3750 0.2578 0.3828
B: 0.7422 0.1250 0.1172
B: 0.8750 0.9922 0.6172
Au: 0.2500 0.7500 0.5000
Au: 0.5000 0.5000 0.0000
C: 0.0000 0.0000 0.0000
C: 0.7500 0.2500 0.5000

Output
E_form: 512 meV per atom
final energy: -0.4374 Ry per atom

(3)
Computed, not measured: a relaxed structure of SrMg2Ga at the GGA-PBE level of DFT.

Unit cell a=4.6116 b=8.0000 c=6.2268 alpha=90.00 beta=111.64 gamma=90.00
Atoms (fractional coordinates):
Sr: 0.0641 0.2500 0.1273
Sr: 0.9359 0.7500 0.8727
Mg: 0.3512 0.0580 0.7012
Mg: 0.3512 0.4420 0.7012
Mg: 0.6488 0.5580 0.2988
Mg: 0.6488 0.9420 0.2988
Ga: 0.2200 0.7500 0.4416
Ga: 0.7800 0.2500 0.5584

Output
E_form: -261 meV per atom
final energy: -0.1643 Ry per atom

Q: Which value of final energy does entry 2 give?
A: -0.4374 Ry per atom

Q: What is the final energy in the first record?
A: -0.3539 Ry per atom

Q: What is the final energy in the first record?
A: -0.3539 Ry per atom